Entry 1:
Entry from Alexandria: a PBEsol-optimized structure of LiCa2 (meta-GGA SCAN).

Values from the calculation:
- density (Mg/m³) = 1.40
- symmetry = I4/mcm
- relative energy among the computed polymorphs (kJ/mol of formula units) = 0.6
- energy of formation from the pure elements (eV/f.u.) = 0.0
- calculated volume (A^3/atom) = 34.3
- energy (eV per atom) = -7.235
- N(E_F) (states/eV/f.u.) = 2.63
- size of the total moment (μB/f.u.) = 0.1

Lattice parameters (Å, degrees): 6.418 6.511 6.511 75.94 60.47 60.47
Fractional positions:
Ca: 0.338 0.824 0.500
Ca: 0.662 0.176 0.500
Li: 0.250 0.000 0.000
Ca: 0.162 0.500 0.176
Ca: 0.838 0.500 0.824
Li: 0.750 0.000 0.000

Entry 2:
Entry from Alexandria: a PBEsol-optimized structure of LiCa2 (meta-GGA SCAN).

Values from the calculation:
- density (Mg/m³) = 1.27
- symmetry = Fm-3m
- relative energy among the computed polymorphs (kJ/mol of formula units) = 71.6
- energy of formation from the pure elements (eV/f.u.) = 0.7
- calculated volume (A^3/atom) = 38.0
- energy (eV per atom) = -6.990
- N(E_F) (states/eV/f.u.) = 2.39
- size of the total moment (μB/f.u.) = 0.0

Lattice parameters (Å, degrees): 5.441 5.441 5.441 60.00 60.00 60.00
Fractional positions:
Ca: 0.750 0.750 0.750
Ca: 0.250 0.250 0.250
Li: 0.000 0.000 0.000

Entry 3:
Entry from Alexandria: a PBEsol-optimized structure of Li3Ca (meta-GGA SCAN).

Values from the calculation:
- density (Mg/m³) = 0.95
- symmetry = P4/mmm
- relative energy among the computed polymorphs (kJ/mol of formula units) = 8.5
- energy of formation from the pure elements (eV/f.u.) = 0.2
- calculated volume (A^3/atom) = 26.5
- energy (eV per atom) = -4.148
- N(E_F) (states/eV/f.u.) = 2.41
- size of the total moment (μB/f.u.) = 0.6

Lattice parameters (Å, degrees): 4.726 4.736 4.736 90.00 90.00 90.00
Last column: magnetic moment on the atom in μB.
Fractional positions:
Li: 0.000 0.500 0.500  0.01
Li: 0.500 0.500 0.000  0.01
Li: 0.500 0.000 0.500  0.01
Ca: 0.000 0.000 0.000  0.06